<one>
Compound: Li2Mn2CoO6
Source: Alexandria via LeMat-Bulk
Functional: PBEsol
Structure: relaxed

The structure in CIF format:
```
data_Li2Mn2CoO6
_symmetry_space_group_name_H-M 'C m c e'
_symmetry_Int_Tables_number 64
_symmetry_space_group_name_Hall '-C 2ac 2'
_cell_length_a 8.4776
_cell_length_b 4.8369
_cell_length_c 10.1274
_cell_angle_alpha 90.00
_cell_angle_beta 90.00
_cell_angle_gamma 90.00
loop_
_atom_site_label
_atom_site_fract_x
_atom_site_fract_y
_atom_site_fract_z
Li1 0.2500 0.0769 0.2500
Mn1 0.1639 0.0000 0.0000
Co1 0.0000 0.0000 0.5000
O1 0.0000 0.1698 0.9022
O2 0.1789 0.1763 0.6072
```



<two>
Compound: Li2Mn2CoO6
Source: Alexandria via LeMat-Bulk
Functional: PBEsol
Structure: relaxed

The structure in CIF format:
```
data_Li2Mn2CoO6
_symmetry_space_group_name_H-M 'P -1'
_symmetry_Int_Tables_number 2
_cell_length_a 5.6205
_cell_length_b 5.7719
_cell_length_c 6.4070
_cell_angle_alpha 105.45
_cell_angle_beta 102.24
_cell_angle_gamma 90.27
loop_
_symmetry_equiv_pos_as_xyz
'x,y,z'
'-x,-y,-z'
loop_
_atom_site_label
_atom_site_fract_x
_atom_site_fract_y
_atom_site_fract_z
Li1 0.0000 0.0000 0.0000
Li2 0.1902 0.6481 0.6551
Li3 0.5000 0.0000 0.0000
Mn1 0.1674 0.1690 0.6656
Mn2 0.3359 0.8329 0.3349
Co1 0.0000 0.5000 0.0000
Co2 0.5000 0.5000 0.0000
O1 0.0765 0.6044 0.3185
O2 0.0838 0.0615 0.3435
O3 0.2433 0.2691 0.9763
O4 0.2554 0.7305 0.0167
O5 0.4085 0.9358 0.6559
O6 0.4217 0.3939 0.6858
```



Most stable structure - <two>; separation to the second - 54 meV/atom.